No. 1
Material: InSbAs2
Method: DFT, GGA-PBE
State: optimized geometry

Cell and atoms, written as CIF:
```
data_InSbAs2
_cell_length_a 3.7814
_cell_length_b 4.7363
_cell_length_c 5.1615
_cell_angle_alpha 90.00
_cell_angle_beta 90.00
_cell_angle_gamma 90.00
_symmetry_space_group_name_H-M 'P m m m'
_symmetry_Int_Tables_number 47
_symmetry_space_group_name_Hall '-P 2 2'
loop_
_atom_site_label
_atom_site_type_symbol
_atom_site_fract_x
_atom_site_fract_y
_atom_site_fract_z
_atom_site_occupancy
In1 In 0.0000 0.0000 0.0000 1
Sb1 Sb 0.5000 0.0000 0.5000 1
As1 As 0.0000 0.5000 0.5000 1
As2 As 0.5000 0.5000 0.0000 1
```

Computed properties:
**E_form (uncorrected)**: 0.30 eV per atom
**V**: 23.110 A^3/atom
**Excess energy over the best structure of this formula in the dataset**: 0.329 eV/atom



No. 2
Material: InSbAs2
Method: DFT, GGA-PBE
State: optimized geometry

Cell and atoms, written as CIF:
```
data_InSbAs2
_cell_length_a 3.5811
_cell_length_b 3.5811
_cell_length_c 7.2266
_cell_angle_alpha 90.00
_cell_angle_beta 90.00
_cell_angle_gamma 90.00
_symmetry_space_group_name_H-M 'P 4/m m m'
_symmetry_Int_Tables_number 123
_symmetry_space_group_name_Hall '-P 4 2'
loop_
_atom_site_label
_atom_site_type_symbol
_atom_site_fract_x
_atom_site_fract_y
_atom_site_fract_z
_atom_site_occupancy
In1 In 0.0000 0.0000 0.0000 1
Sb1 Sb 0.0000 0.0000 0.5000 1
As1 As 0.5000 0.5000 0.2676 1
```

Computed properties:
**E_form (uncorrected)**: 0.25 eV per atom
**V**: 23.168 A^3/atom
**Excess energy over the best structure of this formula in the dataset**: 0.280 eV/atom



No. 3
Material: InSb2As
Method: DFT, GGA-PBE
State: optimized geometry

Cell and atoms, written as CIF:
```
data_InSb2As
_cell_length_a 3.1384
_cell_length_b 5.2778
_cell_length_c 6.3715
_cell_angle_alpha 90.00
_cell_angle_beta 90.11
_cell_angle_gamma 90.00
_symmetry_space_group_name_H-M 'P 1 m 1'
_symmetry_Int_Tables_number 6
_symmetry_space_group_name_Hall 'P -2y'
loop_
_atom_site_label
_atom_site_type_symbol
_atom_site_fract_x
_atom_site_fract_y
_atom_site_fract_z
_atom_site_occupancy
In1 In 0.0000 0.0000 0.0000 1
Sb1 Sb 0.4946 0.0000 0.5325 1
Sb2 Sb 0.4977 0.5000 0.2150 1
As1 As 0.4946 0.5000 0.7564 1
```

Computed properties:
**E_form (uncorrected)**: 0.15 eV per atom
**V**: 26.384 A^3/atom
**Excess energy over the best structure of this formula in the dataset**: 0.117 eV/atom



No. 4
Material: InSbAs2
Method: DFT, GGA-PBE
State: optimized geometry

Cell and atoms, written as CIF:
```
data_InSbAs2
_cell_length_a 7.1467
_cell_length_b 7.1467
_cell_length_c 7.1467
_cell_angle_alpha 90.00
_cell_angle_beta 90.00
_cell_angle_gamma 90.00
_symmetry_space_group_name_H-M 'F -4 3 m'
_symmetry_Int_Tables_number 216
_symmetry_space_group_name_Hall 'F -4 2 3'
loop_
_atom_site_label
_atom_site_type_symbol
_atom_site_fract_x
_atom_site_fract_y
_atom_site_fract_z
_atom_site_occupancy
In1 In 0.0000 0.0000 0.0000 1
Sb1 Sb 0.2500 0.2500 0.7500 1
As1 As 0.0000 0.0000 0.5000 1
As2 As 0.2500 0.2500 0.2500 1
```

Computed properties:
**E_form (uncorrected)**: 0.33 eV per atom
**V**: 22.814 A^3/atom
**Excess energy over the best structure of this formula in the dataset**: 0.360 eV/atom



Copy entry 3 word for word.
Material: InSb2As
Method: DFT, GGA-PBE
State: optimized geometry

Cell and atoms, written as CIF:
```
data_InSb2As
_cell_length_a 3.1384
_cell_length_b 5.2778
_cell_length_c 6.3715
_cell_angle_alpha 90.00
_cell_angle_beta 90.11
_cell_angle_gamma 90.00
_symmetry_space_group_name_H-M 'P 1 m 1'
_symmetry_Int_Tables_number 6
_symmetry_space_group_name_Hall 'P -2y'
loop_
_atom_site_label
_atom_site_type_symbol
_atom_site_fract_x
_atom_site_fract_y
_atom_site_fract_z
_atom_site_occupancy
In1 In 0.0000 0.0000 0.0000 1
Sb1 Sb 0.4946 0.0000 0.5325 1
Sb2 Sb 0.4977 0.5000 0.2150 1
As1 As 0.4946 0.5000 0.7564 1
```

Computed properties:
**E_form (uncorrected)**: 0.15 eV per atom
**V**: 26.384 A^3/atom
**Excess energy over the best structure of this formula in the dataset**: 0.117 eV/atom



Repeat the third record exactly.
Material: InSb2As
Method: DFT, GGA-PBE
State: optimized geometry

Cell and atoms, written as CIF:
```
data_InSb2As
_cell_length_a 3.1384
_cell_length_b 5.2778
_cell_length_c 6.3715
_cell_angle_alpha 90.00
_cell_angle_beta 90.11
_cell_angle_gamma 90.00
_symmetry_space_group_name_H-M 'P 1 m 1'
_symmetry_Int_Tables_number 6
_symmetry_space_group_name_Hall 'P -2y'
loop_
_atom_site_label
_atom_site_type_symbol
_atom_site_fract_x
_atom_site_fract_y
_atom_site_fract_z
_atom_site_occupancy
In1 In 0.0000 0.0000 0.0000 1
Sb1 Sb 0.4946 0.0000 0.5325 1
Sb2 Sb 0.4977 0.5000 0.2150 1
As1 As 0.4946 0.5000 0.7564 1
```

Computed properties:
**E_form (uncorrected)**: 0.15 eV per atom
**V**: 26.384 A^3/atom
**Excess energy over the best structure of this formula in the dataset**: 0.117 eV/atom



The highest E_form (uncorrected) belongs to which entry?
number 4